Density functional theory data (PBE) for crystalline La2CeGa3 at its relaxed geometry.

Unit cell a=3.727 b=3.727 c=11.198 alpha=90.00 beta=90.00 gamma=90.00
Space group P4/mmm (No. 123)
One atom of each set of equivalent atoms:
La 0.000 0.000 0.170 [2 per cell]
Ce 0.000 0.000 0.500 [1 per cell]
Ga 0.500 0.500 0.000 [1 per cell]
Ga 0.500 0.500 0.341 [2 per cell]

Results
For the magnetization, the calculation gives 0.74 μB/f.u. The calculation puts the formation enthalpy at 0 K at -526 meV per atom.